[1]
CeNpIrAu after structural relaxation, computed with GGA-PBE. Values from VASP.

Cell and atoms, written as Quantum ESPRESSO input:
```
&SYSTEM
  ibrav = 0, nat = 16, ntyp = 4
/
ATOMIC_SPECIES
Ce 140.12 Ce.upf
Np 237.00 Np.upf
Ir 192.22 Ir.upf
Au 196.97 Au.upf
ATOMIC_POSITIONS crystal
Ce 0.000 0.000 0.000
Ce 0.000 0.500 0.500
Ce 0.500 0.000 0.500
Ce 0.500 0.500 0.000
Np 0.000 0.000 0.500
Np 0.000 0.500 0.000
Np 0.500 0.000 0.000
Np 0.500 0.500 0.500
Ir 0.250 0.250 0.250
Ir 0.250 0.750 0.750
Ir 0.750 0.250 0.750
Ir 0.750 0.750 0.250
Au 0.250 0.250 0.750
Au 0.250 0.750 0.250
Au 0.750 0.250 0.250
Au 0.750 0.750 0.750
CELL_PARAMETERS angstrom
7.099 0.000 0.000
0.000 7.099 0.000
0.000 0.000 7.099
```

Calculated values
- D(E_F): 2.988 states/eV per atom
- Total DFT energy (no corrections): -129.27 eV/cell
- SG: F-43m
- Energy relative to the elements: -0.326 eV/atom


[2]
CePaIrAu after structural relaxation, computed with GGA-PBE. Values from VASP.

Cell and atoms, written as Quantum ESPRESSO input:
```
&SYSTEM
  ibrav = 0, nat = 16, ntyp = 4
/
ATOMIC_SPECIES
Ce 140.12 Ce.upf
Pa 231.04 Pa.upf
Ir 192.22 Ir.upf
Au 196.97 Au.upf
ATOMIC_POSITIONS crystal
Ce 0.000 0.000 0.000
Ce 0.000 0.500 0.500
Ce 0.500 0.000 0.500
Ce 0.500 0.500 0.000
Pa 0.000 0.000 0.500
Pa 0.000 0.500 0.000
Pa 0.500 0.000 0.000
Pa 0.500 0.500 0.500
Ir 0.250 0.250 0.750
Ir 0.250 0.750 0.250
Ir 0.750 0.250 0.250
Ir 0.750 0.750 0.750
Au 0.250 0.250 0.250
Au 0.250 0.750 0.750
Au 0.750 0.250 0.750
Au 0.750 0.750 0.250
CELL_PARAMETERS angstrom
7.102 0.000 0.000
0.000 7.102 0.000
0.000 0.000 7.102
```

Calculated values
- D(E_F): 2.002 states/eV per atom
- Total DFT energy (no corrections): -117.84 eV/cell
- SG: F-43m
- Energy relative to the elements: -0.473 eV/atom


Which value of D(E_F) does entry 1 give?
2.988 states/eV per atom


What is the energy relative to the elements in the first record?
-0.326 eV/atom


Please write out number 1 again, unchanged.
CeNpIrAu after structural relaxation, computed with GGA-PBE. Values from VASP.

Cell and atoms, written as Quantum ESPRESSO input:
```
&SYSTEM
  ibrav = 0, nat = 16, ntyp = 4
/
ATOMIC_SPECIES
Ce 140.12 Ce.upf
Np 237.00 Np.upf
Ir 192.22 Ir.upf
Au 196.97 Au.upf
ATOMIC_POSITIONS crystal
Ce 0.000 0.000 0.000
Ce 0.000 0.500 0.500
Ce 0.500 0.000 0.500
Ce 0.500 0.500 0.000
Np 0.000 0.000 0.500
Np 0.000 0.500 0.000
Np 0.500 0.000 0.000
Np 0.500 0.500 0.500
Ir 0.250 0.250 0.250
Ir 0.250 0.750 0.750
Ir 0.750 0.250 0.750
Ir 0.750 0.750 0.250
Au 0.250 0.250 0.750
Au 0.250 0.750 0.250
Au 0.750 0.250 0.250
Au 0.750 0.750 0.750
CELL_PARAMETERS angstrom
7.099 0.000 0.000
0.000 7.099 0.000
0.000 0.000 7.099
```

Calculated values
- D(E_F): 2.988 states/eV per atom
- Total DFT energy (no corrections): -129.27 eV/cell
- SG: F-43m
- Energy relative to the elements: -0.326 eV/atom